A plane-wave DFT calculation with PBE was carried out for crystalline Nd2Sm3YBi6 at its relaxed geometry.

Cell: 4.5653 9.1264 10.2027 Å, 102.90 102.93 90.00°
Closest atoms and distances in Å follow each position.
Element x y z (fractional)
Nd 0.8341 0.6676 0.6681  6 Bi 3.24-3.25
Nd 0.1659 0.3324 0.3319  6 Bi 3.24-3.25
Sm 0.5000 0.5000 0.0000  6 Bi 3.22-3.25
Sm 0.8323 0.1664 0.6646  6 Bi 3.21-3.24
Sm 0.1677 0.8336 0.3354  6 Bi 3.21-3.24
Y 0.5000 0.0000 0.0000  6 Bi 3.20-3.21
Bi 0.3349 0.9201 0.6698  1 Y 3.20, 3 Sm 3.21-3.24, 2 Nd 3.24
Bi 0.6661 0.5849 0.3322  3 Sm 3.21-3.22, 3 Nd 3.24-3.25
Bi 0.6651 0.0799 0.3302  1 Y 3.20, 3 Sm 3.21-3.24, 2 Nd 3.24
Bi 0.9986 0.2460 0.9972  2 Y 3.21, 3 Sm 3.22-3.25, 1 Nd 3.24
Bi 0.0014 0.7540 0.0028  2 Y 3.21, 3 Sm 3.22-3.25, 1 Nd 3.24
Bi 0.3339 0.4151 0.6678  3 Sm 3.21-3.22, 3 Nd 3.24-3.25

Calculated values
The total magnetization comes out at 0.00 μB/f.u. For the density of states at the Fermi level, the calculation gives 2.04 states/eV per cell. The calculation puts the energy of formation at -0.93 eV/atom.